This record from Alexandria describes an optimized crystal structure of In2CF. The functional is GGA-PBE.

abc: 4.399 4.399 4.399
angles: 60.00 60.00 60.00
Element x y z (fractional)
In 0.250 0.250 0.250
In 0.750 0.750 0.750
C 0.000 0.000 0.000
F 0.500 0.500 0.500

Output
Size of the total moment = 0.00 μB/cell
VASP energy = -3.885 eV per atom
Volume = 60.21 Å³ per cell
Density = 7.19 g cm⁻³
Energy relative to the elements, uncorrected = 0.258 eV per atom
Space-group type = No. 225